[1]
Here is Sr2LaIr after structural relaxation from the Alexandria database. Energies are from PBE-GGA.

Summary:
ρ: 5.16 g cm⁻³
Relative energy among the computed polymorphs: 0.0121 eV per atom
ΔH_f (0 K): -29.37 kJ/mol of atoms

Geometry as CIF:
```
data_Sr2LaIr
_chemical_formula_sum 'Sr4 La2 Ir2'
_cell_length_a 7.376
_cell_length_b 4.257
_cell_length_c 10.673
_cell_angle_alpha 90.00
_cell_angle_beta 103.39
_cell_angle_gamma 90.00
_space_group_name_H-M_alt 'C 1 m 1'
_space_group_IT_number 8
loop_
_space_group_symop_operation_xyz
'x,y,z'
'x,-y,z'
'x+1/2,y+1/2,z'
'x+1/2,-y+1/2,z'
loop_
_atom_site_label
_atom_site_type_symbol
_atom_site_fract_x
_atom_site_fract_y
_atom_site_fract_z
_atom_site_occupancy
Sr1 Sr 0.000 0.000 0.000 1
Sr2 Sr 0.217 0.000 0.649 1
La1 La 0.436 0.000 0.305 1
Ir1 Ir 0.226 0.500 0.176 1
```

---

[2]
Here is SrLa2Ir9 after structural relaxation from the Alexandria database. Energies are from PBE-GGA.

Summary:
ρ: 15.39 g cm⁻³
ΔH_f (0 K): -39.20 kJ/mol of atoms

Geometry as CIF:
```
data_SrLa2Ir9
_chemical_formula_sum 'Sr3 La6 Ir27'
_cell_length_a 5.4284
_cell_length_b 5.4284
_cell_length_c 26.5860
_cell_angle_alpha 90.00
_cell_angle_beta 90.00
_cell_angle_gamma 120.00
_space_group_name_H-M_alt 'R -3 m'
_space_group_IT_number 166
_space_group_name_Hall '-R 3 2"'
loop_
_atom_site_label
_atom_site_type_symbol
_atom_site_fract_x
_atom_site_fract_y
_atom_site_fract_z
_atom_site_occupancy
Sr1 Sr 0.0000 0.0000 0.0000 1
La1 La 0.0000 0.0000 0.1385 1
Ir1 Ir 0.0000 0.0000 0.3311 1
Ir2 Ir 0.0000 0.0000 0.5000 1
Ir3 Ir 0.0054 0.5027 0.0801 1
```

---

[3]
Here is Sr2LaIr9 after structural relaxation from the Alexandria database. Energies are from PBE-GGA.

Summary:
ρ: 14.98 g cm⁻³
ΔH_f (0 K): -27.67 kJ/mol of atoms

Geometry as CIF:
```
data_Sr2LaIr9
_chemical_formula_sum 'Sr6 La3 Ir27'
_cell_length_a 5.4394
_cell_length_b 5.4394
_cell_length_c 26.5332
_cell_angle_alpha 90.00
_cell_angle_beta 90.00
_cell_angle_gamma 120.00
_space_group_name_H-M_alt 'R -3 m'
_space_group_IT_number 166
_space_group_name_Hall '-R 3 2"'
loop_
_atom_site_label
_atom_site_type_symbol
_atom_site_fract_x
_atom_site_fract_y
_atom_site_fract_z
_atom_site_occupancy
Sr1 Sr 0.0000 0.0000 0.1419 1
La1 La 0.0000 0.0000 0.0000 1
Ir1 Ir 0.0000 0.0000 0.3313 1
Ir2 Ir 0.0000 0.0000 0.5000 1
Ir3 Ir 0.0071 0.5035 0.0796 1
```

---

[4]
Here is Sr2LaIr after structural relaxation from the Alexandria database. Energies are from PBE-GGA.

Summary:
ρ: 5.87 g cm⁻³
Relative energy among the computed polymorphs: 0.0798 eV per atom
ΔH_f (0 K): -22.83 kJ/mol of atoms

Geometry as CIF:
```
data_Sr2LaIr
_chemical_formula_sum 'Sr2 La1 Ir1'
_cell_length_a 3.735
_cell_length_b 3.735
_cell_length_c 10.270
_cell_angle_alpha 90.00
_cell_angle_beta 90.00
_cell_angle_gamma 90.00
_space_group_name_H-M_alt 'P 4 m m'
_space_group_IT_number 99
loop_
_space_group_symop_operation_xyz
'x,y,z'
'-y,x,z'
'-x,-y,z'
'y,-x,z'
'-x,y,z'
'y,x,z'
'x,-y,z'
'-y,-x,z'
loop_
_atom_site_label
_atom_site_type_symbol
_atom_site_fract_x
_atom_site_fract_y
_atom_site_fract_z
_atom_site_occupancy
Sr1 Sr 0.000 0.000 0.000 1
Sr2 Sr 0.500 0.500 0.342 1
La1 La 0.500 0.500 0.671 1
Ir1 Ir 0.000 0.000 0.540 1
```

---

[5]
Here is Sr2LaIr after structural relaxation from the Alexandria database. Energies are from PBE-GGA.

Summary:
ρ: 5.06 g cm⁻³
Relative energy among the computed polymorphs: 0.2348 eV per atom
ΔH_f (0 K): -7.88 kJ/mol of atoms

Geometry as CIF:
```
data_Sr2LaIr
_chemical_formula_sum 'Sr8 La4 Ir4'
_cell_length_a 11.035
_cell_length_b 11.035
_cell_length_c 5.456
_cell_angle_alpha 90.00
_cell_angle_beta 90.00
_cell_angle_gamma 90.00
_space_group_name_H-M_alt 'I -4 2 d'
_space_group_IT_number 122
_space_group_name_Hall 'I -4 2bw'
loop_
_atom_site_label
_atom_site_type_symbol
_atom_site_fract_x
_atom_site_fract_y
_atom_site_fract_z
_atom_site_occupancy
Sr1 Sr 0.111 0.250 0.125 1
La1 La 0.000 0.000 0.500 1
Ir1 Ir 0.000 0.000 0.000 1
```

---

[6]
Here is SrLaIr after structural relaxation from the Alexandria database. Energies are from PBE-GGA.

Summary:
ρ: 7.36 g cm⁻³
Relative energy among the computed polymorphs: 0.1039 eV per atom
ΔH_f (0 K): -35.76 kJ/mol of atoms

Geometry as CIF:
```
data_SrLaIr
_chemical_formula_sum 'Sr2 La2 Ir2'
_cell_length_a 3.652
_cell_length_b 3.652
_cell_length_c 14.172
_cell_angle_alpha 90.00
_cell_angle_beta 90.00
_cell_angle_gamma 90.00
_space_group_name_H-M_alt 'I 4 m m'
_space_group_IT_number 107
_space_group_name_Hall 'I 4 -2'
loop_
_atom_site_label
_atom_site_type_symbol
_atom_site_fract_x
_atom_site_fract_y
_atom_site_fract_z
_atom_site_occupancy
Sr1 Sr 0.000 0.000 0.000 1
La1 La 0.000 0.000 0.244 1
Ir1 Ir 0.000 0.000 0.642 1
```

---

[7]
Here is Sr2LaIr after structural relaxation from the Alexandria database. Energies are from PBE-GGA.

Summary:
ρ: 5.83 g cm⁻³
Relative energy among the computed polymorphs: 0.0986 eV per atom
ΔH_f (0 K): -21.03 kJ/mol of atoms

Geometry as CIF:
```
data_Sr2LaIr
_chemical_formula_sum 'Sr4 La2 Ir2'
_cell_length_a 3.917
_cell_length_b 6.133
_cell_length_c 12.009
_cell_angle_alpha 90.00
_cell_angle_beta 90.00
_cell_angle_gamma 90.00
_space_group_name_H-M_alt 'I m m 2'
_space_group_IT_number 44
loop_
_space_group_symop_operation_xyz
'x,y,z'
'-x,-y,z'
'-x,y,z'
'x,-y,z'
'x+1/2,y+1/2,z+1/2'
'-x+1/2,-y+1/2,z+1/2'
'-x+1/2,y+1/2,z+1/2'
'x+1/2,-y+1/2,z+1/2'
loop_
_atom_site_label
_atom_site_type_symbol
_atom_site_fract_x
_atom_site_fract_y
_atom_site_fract_z
_atom_site_occupancy
Sr1 Sr 0.000 0.000 0.000 1
Sr2 Sr 0.000 0.500 0.178 1
La1 La 0.000 0.000 0.350 1
Ir1 Ir 0.000 0.500 0.699 1
```

---

[8]
Here is SrLa2TeIr after structural relaxation from the Alexandria database. Energies are from PBE-GGA.

Summary:
ρ: 6.24 g cm⁻³
Uncorrected formation energy: -0.710 eV/atom

Geometry as CIF:
```
data_SrLa2TeIr
_chemical_formula_sum 'Sr1 La2 Te1 Ir1'
_cell_length_a 5.454
_cell_length_b 5.454
_cell_length_c 6.134
_cell_angle_alpha 90.00
_cell_angle_beta 90.00
_cell_angle_gamma 90.00
_space_group_name_H-M_alt 'P 4/m m m'
_space_group_IT_number 123
_space_group_name_Hall '-P 4 2'
loop_
_atom_site_label
_atom_site_type_symbol
_atom_site_fract_x
_atom_site_fract_y
_atom_site_fract_z
_atom_site_occupancy
Sr1 Sr 0.000 0.000 0.000 1
La1 La 0.000 0.500 0.500 1
Te1 Te 0.500 0.500 0.000 1
Ir1 Ir 0.000 0.000 0.500 1
```

---

[9]
Here is Sr2LaTeIr after structural relaxation from the Alexandria database. Energies are from PBE-GGA.

Summary:
ρ: 5.68 g cm⁻³
Uncorrected formation energy: -0.641 eV/atom

Geometry as CIF:
```
data_Sr2LaTeIr
_chemical_formula_sum 'Sr2 La1 Te1 Ir1'
_cell_length_a 5.882
_cell_length_b 5.882
_cell_length_c 5.357
_cell_angle_alpha 90.00
_cell_angle_beta 90.00
_cell_angle_gamma 90.00
_space_group_name_H-M_alt 'P 4/m m m'
_space_group_IT_number 123
_space_group_name_Hall '-P 4 2'
loop_
_atom_site_label
_atom_site_type_symbol
_atom_site_fract_x
_atom_site_fract_y
_atom_site_fract_z
_atom_site_occupancy
Sr1 Sr 0.000 0.500 0.000 1
La1 La 0.000 0.000 0.500 1
Te1 Te 0.500 0.500 0.500 1
Ir1 Ir 0.000 0.000 0.000 1
```

---

[10]
Here is SrLa2TlIr after structural relaxation from the Alexandria database. Energies are from PBE-GGA.

Summary:
ρ: 6.95 g cm⁻³
Relative energy among the computed polymorphs: 0.0000 eV per atom
ΔH_f (0 K): -35.91 kJ/mol of atoms

Geometry as CIF:
```
data_SrLa2TlIr
_chemical_formula_sum 'Sr1 La2 Tl1 Ir1'
_cell_length_a 5.543
_cell_length_b 5.543
_cell_length_c 5.928
_cell_angle_alpha 90.00
_cell_angle_beta 90.00
_cell_angle_gamma 90.00
_space_group_name_H-M_alt 'P 4/m m m'
_space_group_IT_number 123
_space_group_name_Hall '-P 4 2'
loop_
_atom_site_label
_atom_site_type_symbol
_atom_site_fract_x
_atom_site_fract_y
_atom_site_fract_z
_atom_site_occupancy
Sr1 Sr 0.000 0.000 0.000 1
La1 La 0.000 0.500 0.500 1
Tl1 Tl 0.500 0.500 0.000 1
Ir1 Ir 0.000 0.000 0.500 1
```

---

[11]
Here is Sr2LaTlIr after structural relaxation from the Alexandria database. Energies are from PBE-GGA.

Summary:
ρ: 6.24 g cm⁻³
ΔH_f (0 K): -28.60 kJ/mol of atoms

Geometry as CIF:
```
data_Sr2LaTlIr
_chemical_formula_sum 'Sr2 La1 Tl1 Ir1'
_cell_length_a 5.895
_cell_length_b 5.895
_cell_length_c 5.444
_cell_angle_alpha 90.00
_cell_angle_beta 90.00
_cell_angle_gamma 90.00
_space_group_name_H-M_alt 'P 4/m m m'
_space_group_IT_number 123
_space_group_name_Hall '-P 4 2'
loop_
_atom_site_label
_atom_site_type_symbol
_atom_site_fract_x
_atom_site_fract_y
_atom_site_fract_z
_atom_site_occupancy
Sr1 Sr 0.000 0.500 0.000 1
La1 La 0.000 0.000 0.500 1
Tl1 Tl 0.500 0.500 0.500 1
Ir1 Ir 0.000 0.000 0.000 1
```

---

[12]
Here is SrLa2TlIr after structural relaxation from the Alexandria database. Energies are from PBE-GGA.

Summary:
ρ: 7.29 g cm⁻³
Relative energy among the computed polymorphs: 0.0912 eV per atom
ΔH_f (0 K): -27.11 kJ/mol of atoms

Geometry as CIF:
```
data_SrLa2TlIr
_chemical_formula_sum 'Sr1 La2 Tl1 Ir1'
_cell_length_a 5.621
_cell_length_b 5.621
_cell_length_c 5.490
_cell_angle_alpha 90.00
_cell_angle_beta 90.00
_cell_angle_gamma 90.00
_space_group_name_H-M_alt 'P 4/m m m'
_space_group_IT_number 123
_space_group_name_Hall '-P 4 2'
loop_
_atom_site_label
_atom_site_type_symbol
_atom_site_fract_x
_atom_site_fract_y
_atom_site_fract_z
_atom_site_occupancy
Sr1 Sr 0.000 0.000 0.000 1
La1 La 0.000 0.500 0.500 1
Tl1 Tl 0.500 0.500 0.000 1
Ir1 Ir 0.500 0.500 0.500 1
```

---

[13]
Here is SrLa2YIr after structural relaxation from the Alexandria database. Energies are from PBE-GGA.

Summary:
ρ: 5.79 g cm⁻³
Relative energy among the computed polymorphs: 0.0000 eV per atom
ΔH_f (0 K): -32.05 kJ/mol of atoms

Geometry as CIF:
```
data_SrLa2YIr
_chemical_formula_sum 'Sr1 La2 Y1 Ir1'
_cell_length_a 5.702
_cell_length_b 5.702
_cell_length_c 5.701
_cell_angle_alpha 90.00
_cell_angle_beta 90.00
_cell_angle_gamma 90.00
_space_group_name_H-M_alt 'P 4/m m m'
_space_group_IT_number 123
_space_group_name_Hall '-P 4 2'
loop_
_atom_site_label
_atom_site_type_symbol
_atom_site_fract_x
_atom_site_fract_y
_atom_site_fract_z
_atom_site_occupancy
Sr1 Sr 0.000 0.000 0.000 1
La1 La 0.000 0.500 0.500 1
Y1 Y 0.500 0.500 0.000 1
Ir1 Ir 0.500 0.500 0.500 1
```

---

[14]
Here is SrLa2YIr after structural relaxation from the Alexandria database. Energies are from PBE-GGA.

Summary:
ρ: 5.69 g cm⁻³
Relative energy among the computed polymorphs: 0.1922 eV per atom
ΔH_f (0 K): -13.50 kJ/mol of atoms

Geometry as CIF:
```
data_SrLa2YIr
_chemical_formula_sum 'Sr1 La2 Y1 Ir1'
_cell_length_a 5.602
_cell_length_b 5.602
_cell_length_c 6.015
_cell_angle_alpha 90.00
_cell_angle_beta 90.00
_cell_angle_gamma 90.00
_space_group_name_H-M_alt 'P 4/m m m'
_space_group_IT_number 123
_space_group_name_Hall '-P 4 2'
loop_
_atom_site_label
_atom_site_type_symbol
_atom_site_fract_x
_atom_site_fract_y
_atom_site_fract_z
_atom_site_occupancy
Sr1 Sr 0.000 0.000 0.000 1
La1 La 0.000 0.500 0.500 1
Y1 Y 0.500 0.500 0.000 1
Ir1 Ir 0.000 0.000 0.500 1
```